# 1
Here is KLi2Os after structural relaxation from the Alexandria database. Energies are from GGA-PBE.

## Properties
ΔH_f (0 K) ... 0.61 eV per atom
Symmetry ... C2/m, No. 12
Crystal system ... monoclinic
Magnetization ... 0.32 μB per formula unit

Geometry as extended XYZ:
```
4
Lattice="-0.561 4.389 1.843 -2.927 3.257 1.948 1.275 -2.090 6.189" Properties=species:S:1:pos:R:3 pbc="T T T"
Os -1.660 4.167 7.485
K -0.553 1.389 2.495
Li 1.122 -1.819 5.660
Li -0.954 2.507 5.519
```


# 2
Here is AcSnPd after structural relaxation from the Alexandria database. Energies are from GGA-PBE.

## Properties
ΔH_f (0 K) ... -0.85 eV per atom
Symmetry ... P-6m2, No. 187
Crystal system ... hexagonal
Magnetization ... 0.00 μB per formula unit

Geometry as extended XYZ:
```
3
Lattice="4.119 0.000 0.000 0.000 4.813 0.000 0.000 -2.406 4.168" Properties=species:S:1:pos:R:3 pbc="T T T"
Ac 2.746 0.000 2.779
Pd 0.686 2.406 1.389
Sn 0.687 0.000 0.000
```


# 3
Here is IrRuRh4 after structural relaxation from the Alexandria database. Energies are from GGA-PBE.

## Properties
ΔH_f (0 K) ... 0.00 eV per atom
Symmetry ... P4/mmm, No. 123
Crystal system ... tetragonal
Magnetization ... 0.00 μB per formula unit

Geometry as extended XYZ:
```
6
Lattice="2.717 0.000 0.000 0.000 2.717 -0.010 0.000 0.041 11.536" Properties=species:S:1:pos:R:3 pbc="T T T"
Rh 1.359 1.393 9.659
Rh 0.000 2.744 7.656
Rh 0.000 0.014 3.870
Rh 1.359 1.365 1.868
Ru 0.000 0.000 0.000
Ir 1.359 1.379 5.763
```


# 4
Here is KZrRh after structural relaxation from the Alexandria database. Energies are from GGA-PBE.

## Properties
ΔH_f (0 K) ... 0.66 eV per atom
Symmetry ... P3m1, No. 156
Crystal system ... trigonal
Magnetization ... 0.00 μB per formula unit

Geometry as extended XYZ:
```
3
Lattice="-0.990 0.569 4.731 -3.450 -1.611 -3.032 0.896 -2.939 0.541" Properties=species:S:1:pos:R:3 pbc="T T T"
Rh -1.481 -1.236 2.342
K 0.001 -0.003 0.001
Zr -2.063 -2.741 -0.102
```


# 5
Here is Be2ReBCl after structural relaxation from the Alexandria database. Energies are from GGA-PBE.

## Properties
Uncorrected formation energy ... 1.79 eV per atom
Symmetry ... P4/mmm, No. 123
Crystal system ... tetragonal
Magnetization ... 0.00 μB per formula unit

Geometry as extended XYZ:
```
5
Lattice="4.522 0.000 0.000 0.000 4.377 0.000 0.000 0.000 4.522" Properties=species:S:1:pos:R:3 pbc="T T T"
Cl 0.000 2.189 0.000
Be 2.261 0.000 0.000
Be 0.000 0.000 2.261
Re 0.000 0.000 0.000
B 2.261 2.189 2.261
```


# 6
Here is Ba3Lu2Zn5O11 after structural relaxation from the Alexandria database. Energies are from GGA-PBE.

## Properties
Uncorrected formation energy ... -2.30 eV per atom
Symmetry ... F-43m, No. 216
Crystal system ... cubic
Magnetization ... 0.00 μB per formula unit

Geometry as extended XYZ:
```
42
Lattice="9.627 0.000 0.000 4.814 8.337 0.000 4.814 2.779 7.861" Properties=species:S:1:pos:R:3 pbc="T T T"
O 12.864 3.690 4.587
O 7.857 6.580 4.653
O 9.627 3.514 4.653
O 11.151 10.237 7.238
O 11.249 2.757 1.950
O 14.441 4.538 7.238
O 14.441 8.337 5.895
O 9.627 7.423 7.235
O 8.012 8.363 1.950
O 12.864 5.554 1.950
O 9.627 5.558 1.762
O 4.814 2.779 1.965
O 11.397 6.580 4.653
O 9.627 9.296 4.587
O 8.006 2.757 1.950
O 6.390 3.690 4.587
O 17.731 10.237 7.238
O 11.242 4.626 7.235
O 8.012 4.626 7.235
O 11.242 8.363 1.950
O 6.390 5.554 1.950
O 14.441 8.337 1.866
Zn 6.424 3.709 2.623
Zn 9.627 9.257 2.623
Zn 9.627 5.558 7.853
Zn 11.239 6.489 2.614
Zn 8.015 4.627 5.247
Zn 12.830 3.709 2.623
Zn 9.627 7.420 5.247
Zn 8.015 6.489 2.614
Zn 11.239 4.627 5.247
Zn 9.627 3.697 2.614
Ba 12.453 7.190 7.518
Ba 16.428 9.485 4.273
Ba 12.453 9.485 4.273
Ba 14.441 10.632 7.518
Ba 16.428 7.190 7.518
Ba 14.441 6.043 4.273
Lu 4.814 6.434 0.673
Lu 4.814 2.779 5.842
Lu 1.648 0.951 0.673
Lu 7.979 0.951 0.673
```